Material: YGa40Mo8
Method: DFT, GGA-PBEsol
State: relaxed

Summary:
Formation energy from the elements, eV/atom: -0.18

abc: 9.474 9.474 9.474
angles: 94.25 94.25 94.25
Sites, in units of the cell vectors:
Y (0.000, 0.000, 0.000)
Ga (0.500, 0.500, 0.500)
Ga (0.500, 0.500, 0.000)
Ga (0.000, 0.500, 0.500)
Ga (0.500, 0.000, 0.500)
Ga (0.644, 0.616, 0.261)
Ga (0.261, 0.644, 0.616)
Ga (0.616, 0.261, 0.644)
Ga (0.356, 0.384, 0.739)
Ga (0.739, 0.356, 0.384)
Ga (0.384, 0.739, 0.356)
Ga (0.767, 0.528, 0.666)
Ga (0.666, 0.767, 0.528)
Ga (0.528, 0.666, 0.767)
Ga (0.233, 0.472, 0.334)
Ga (0.334, 0.233, 0.472)
Ga (0.472, 0.334, 0.233)
Ga (0.071, 0.443, 0.778)
Ga (0.778, 0.071, 0.443)
Ga (0.443, 0.778, 0.071)
Ga (0.929, 0.557, 0.222)
Ga (0.222, 0.929, 0.557)
Ga (0.557, 0.222, 0.929)
Ga (0.784, 0.590, 0.958)
Ga (0.958, 0.784, 0.590)
Ga (0.590, 0.958, 0.784)
Ga (0.216, 0.410, 0.042)
Ga (0.042, 0.216, 0.410)
Ga (0.410, 0.042, 0.216)
Ga (0.716, 0.860, 0.040)
Ga (0.040, 0.716, 0.860)
Ga (0.860, 0.040, 0.716)
Ga (0.284, 0.140, 0.960)
Ga (0.960, 0.284, 0.140)
Ga (0.140, 0.960, 0.284)
Ga (0.166, 0.698, 0.119)
Ga (0.119, 0.166, 0.698)
Ga (0.698, 0.119, 0.166)
Ga (0.834, 0.302, 0.881)
Ga (0.881, 0.834, 0.302)
Ga (0.302, 0.881, 0.834)
Mo (0.788, 0.788, 0.788)
Mo (0.212, 0.212, 0.212)
Mo (0.610, 0.887, 0.288)
Mo (0.288, 0.610, 0.887)
Mo (0.887, 0.288, 0.610)
Mo (0.390, 0.113, 0.712)
Mo (0.712, 0.390, 0.113)
Mo (0.113, 0.712, 0.390)

=====

Material: YGa2Mo2
Method: DFT, GGA-PBEsol
State: relaxed

Summary:
Formation energy from the elements, eV/atom: -0.33

abc: 3.831 3.831 6.598
angles: 106.87 106.87 90.00
Sites, in units of the cell vectors:
Y (0.000, 0.000, 0.000)
Mo (0.250, 0.750, 0.500)
Mo (0.750, 0.250, 0.500)
Ga (0.399, 0.399, 0.797)
Ga (0.601, 0.601, 0.203)

=====

Material: Zr2Ga2Mo
Method: DFT, GGA-PBEsol
State: relaxed

Summary:
Formation energy from the elements, eV/atom: -0.48

abc: 3.675 6.919 6.919
angles: 90.00 90.00 90.00
Sites, in units of the cell vectors:
Mo (0.000, 0.000, 0.000)
Mo (0.000, 0.500, 0.500)
Ga (0.000, 0.374, 0.874)
Ga (0.000, 0.874, 0.626)
Ga (0.000, 0.626, 0.126)
Ga (0.000, 0.126, 0.374)
Zr (0.500, 0.178, 0.678)
Zr (0.500, 0.678, 0.822)
Zr (0.500, 0.822, 0.322)
Zr (0.500, 0.322, 0.178)

=====

Material: GaN
Method: DFT, GGA-PBEsol
State: relaxed

Summary:
E_form (uncorrected), eV per atom: -0.629

abc: 3.179 3.179 3.179
angles: 60.00 60.00 60.00
Sites, in units of the cell vectors:
Ga (0.000, 0.000, 0.000)
N (0.250, 0.250, 0.250)

=====

Material: GaN
Method: DFT, GGA-PBEsol
State: relaxed

Summary:
E_form (uncorrected), eV per atom: -0.635

abc: 3.181 3.181 5.182
angles: 90.00 90.00 120.00
Sites, in units of the cell vectors:
Ga (0.667, 0.333, 0.001)
Ga (0.333, 0.667, 0.501)
N (0.667, 0.333, 0.624)
N (0.333, 0.667, 0.124)

=====

Material: NaGaN2O
Method: DFT, GGA-PBEsol
State: relaxed

Summary:
E_form (uncorrected), eV per atom: 1.810

abc: 4.208 4.380 4.380
angles: 90.00 90.00 90.00
Site moments in Bohr magnetons follow the coordinates.
Sites, in units of the cell vectors:
Na (0.000, 0.000, 0.000)  0.03
O (0.500, 0.000, 0.000)  0.96
Ga (0.500, 0.500, 0.500)  0.13
N (0.000, 0.000, 0.500)  1.60
N (0.000, 0.500, 0.000)  1.60